No. 1
Compound: Ce2Pr3ThP6
Source: Alexandria
Functional: PBE
Structure: optimized geometry

- space group = C2/m
- formation energy from the elements (eV per atom) = -1.537
- density of states at the Fermi level (states/eV per atom) = 0.90

Unit cell a=7.1989 b=7.1989 c=7.2020 alpha=99.59 beta=99.59 gamma=120.01
Closest atoms and distances in Å follow each position.
Sites, in units of the cell vectors:
1 Ce 0.1667 0.8333 0.0000  6 P 2.90
2 Ce 0.8333 0.1667 0.0000  6 P 2.90
3 Pr 0.0000 0.0000 0.5000  6 P 2.97-2.98
4 Pr 0.3334 0.6666 0.5000  6 P 2.97-2.98
5 Pr 0.6666 0.3334 0.5000  6 P 2.97-2.98
6 Th 0.5000 0.5000 0.0000  6 P 2.91
7 P 0.0849 0.4197 0.7590  2 Ce 2.90, 1 Th 2.91, 3 Pr 2.97-2.98
8 P 0.2457 0.2457 0.2412  2 Ce 2.90, 1 Th 2.91, 3 Pr 2.97-2.98
9 P 0.4197 0.0849 0.7590  2 Ce 2.90, 1 Th 2.91, 3 Pr 2.97-2.98
10 P 0.5803 0.9151 0.2410  2 Ce 2.90, 1 Th 2.91, 3 Pr 2.97-2.98
11 P 0.7543 0.7543 0.7588  2 Ce 2.90, 1 Th 2.91, 3 Pr 2.97-2.98
12 P 0.9151 0.5803 0.2410  2 Ce 2.90, 1 Th 2.91, 3 Pr 2.97-2.98

=====

No. 2
Compound: CePr2Th3P6
Source: Alexandria
Functional: PBE
Structure: optimized geometry

- space group = C2/m
- formation energy from the elements (eV per atom) = -1.550
- density of states at the Fermi level (states/eV per atom) = 0.78

Unit cell a=7.2022 b=7.2022 c=7.1935 alpha=99.61 beta=99.61 gamma=119.99
Closest atoms and distances in Å follow each position.
Sites, in units of the cell vectors:
1 Ce 0.0000 0.0000 0.0000  6 P 2.92
2 Pr 0.3336 0.6664 0.0000  6 P 2.97
3 Pr 0.6664 0.3336 0.0000  6 P 2.97
4 Th 0.1676 0.8324 0.5000  6 P 2.91-2.95
5 Th 0.5000 0.5000 0.5000  6 P 2.91-2.96
6 Th 0.8324 0.1676 0.5000  6 P 2.91-2.95
7 P 0.0845 0.4128 0.2537  3 Th 2.91-2.95, 1 Ce 2.92, 2 Pr 2.97
8 P 0.2435 0.2435 0.7461  3 Th 2.92-2.96, 1 Ce 2.92, 2 Pr 2.97
9 P 0.4128 0.0845 0.2537  3 Th 2.91-2.95, 1 Ce 2.92, 2 Pr 2.97
10 P 0.5872 0.9155 0.7463  3 Th 2.91-2.95, 1 Ce 2.92, 2 Pr 2.97
11 P 0.7565 0.7565 0.2539  3 Th 2.92-2.96, 1 Ce 2.92, 2 Pr 2.97
12 P 0.9155 0.5872 0.7463  3 Th 2.91-2.95, 1 Ce 2.92, 2 Pr 2.97

=====

No. 3
Compound: CePrTh2P4
Source: Alexandria
Functional: PBE
Structure: optimized geometry

- space group = P2/m
- formation energy from the elements (eV per atom) = -1.546
- density of states at the Fermi level (states/eV per atom) = 0.95

Unit cell a=7.1782 b=4.1488 c=7.1887 alpha=90.00 beta=109.47 gamma=90.00
Closest atoms and distances in Å follow each position.
Sites, in units of the cell vectors:
1 Ce 0.0000 0.0000 0.0000  6 P 2.92-2.93
2 Pr 0.0000 0.5000 0.5000  6 P 2.96
3 Th 0.5000 0.0000 0.5000  6 P 2.94
4 Th 0.5000 0.5000 0.0000  6 P 2.91
5 P 0.2506 0.5000 0.2468  3 Th 2.91-2.94, 2 Ce 2.93, 1 Pr 2.96
6 P 0.2536 0.0000 0.7550  3 Th 2.91-2.94, 1 Ce 2.92, 2 Pr 2.96
7 P 0.7464 0.0000 0.2450  3 Th 2.91-2.94, 1 Ce 2.92, 2 Pr 2.96
8 P 0.7494 0.5000 0.7532  3 Th 2.91-2.94, 2 Ce 2.93, 1 Pr 2.96

=====

No. 4
Compound: Ce3PrTh2P6
Source: Alexandria
Functional: PBE
Structure: optimized geometry

- space group = C2/m
- formation energy from the elements (eV per atom) = -1.536
- density of states at the Fermi level (states/eV per atom) = 1.25

Unit cell a=7.1512 b=7.1512 c=7.1520 alpha=99.59 beta=99.59 gamma=119.99
Closest atoms and distances in Å follow each position.
Sites, in units of the cell vectors:
1 Ce 0.0000 0.0000 0.0000  6 P 2.88-2.91
2 Ce 0.3343 0.6657 0.0000  6 P 2.89-2.91
3 Ce 0.6657 0.3343 0.0000  6 P 2.89-2.91
4 Pr 0.5000 0.5000 0.5000  6 P 2.96
5 Th 0.1669 0.8331 0.5000  6 P 2.93
6 Th 0.8331 0.1669 0.5000  6 P 2.93
7 P 0.0780 0.4150 0.2453  3 Ce 2.89-2.91, 2 Th 2.93, 1 Pr 2.96
8 P 0.2477 0.2477 0.7544  3 Ce 2.88-2.91, 2 Th 2.93, 1 Pr 2.96
9 P 0.4150 0.0780 0.2453  3 Ce 2.89-2.91, 2 Th 2.93, 1 Pr 2.96
10 P 0.5850 0.9220 0.7547  3 Ce 2.89-2.91, 2 Th 2.93, 1 Pr 2.96
11 P 0.7523 0.7523 0.2456  3 Ce 2.88-2.91, 2 Th 2.93, 1 Pr 2.96
12 P 0.9220 0.5850 0.7547  3 Ce 2.89-2.91, 2 Th 2.93, 1 Pr 2.96

=====

What is the formation energy from the elements in the first record? -1.537 eV per atom

=====

density of states at the Fermi level of number 1 (Ce2Pr3ThP6)? 0.90 states/eV per atom

=====

The highest density of states at the Fermi level belongs to which entry? Ce3PrTh2P6

=====

density of states at the Fermi level of number 3 (CePrTh2P4)? 0.95 states/eV per atom